1.
DFT (PBE-GGA) results for a relaxed structure of HoMgAgGe.

```
HoMgAgGe
1.0
4.9057 0.0000 0.0000
2.4528 4.2484 0.0000
2.4528 1.4161 4.0055
Ag Ge Ho Mg
1 1 1 1
Direct
0.2500 0.2500 0.2500
0.7500 0.7500 0.7500
0.0000 0.0000 0.0000
0.5000 0.5000 0.5000
```

## Properties
Final energy (eV for the cell shown): -15.3
Energy of formation from the pure elements (eV/f.u.): -1.66
Magnetic moment (μB per atom): 0.000
Density (g cm⁻³): 7.35

---

2.
DFT (PBE-GGA) results for a relaxed structure of Ho2Ag2GeO6.

```
Ho2Ag2GeO6
1.0
5.7252 -0.1573 0.7467
-2.9665 4.8993 0.7467
-0.3360 -0.5775 6.3309
Ho Ag O Ge
2 2 6 1
Direct
0.3371 0.6629 0.5000
0.6629 0.3371 0.5000
0.8490 0.1510 0.0000
0.1510 0.8490 0.0000
0.9611 0.2616 0.6682
0.3138 0.3138 0.3526
0.2616 0.9611 0.6682
0.0389 0.7384 0.3318
0.6862 0.6862 0.6474
0.7384 0.0389 0.3318
0.0000 0.0000 0.5000
```

## Properties
Final energy (eV for the cell shown): -71.4
Uncorrected formation energy (eV per atom): -2.02
Magnetic moment (μB per atom): 0.000
Density (g cm⁻³): 6.60

---

3.
DFT (PBE-GGA) results for a relaxed structure of HoAg2GeO4.

```
HoAg2GeO4
1.0
5.9357 -0.6459 -0.9894
-3.1135 5.0947 0.9894
-3.1135 -1.1445 5.0621
O Ag Ge Ho
4 2 1 1
Direct
0.6170 0.3908 0.4493
0.3830 0.8323 0.7738
0.0585 0.2262 0.6092
0.9415 0.5507 0.1677
0.5000 0.7500 0.2500
0.0000 0.0000 0.0000
0.0000 0.5000 0.5000
0.5000 0.2500 0.7500
```

## Properties
Final energy (eV for the cell shown): -46.8
Uncorrected formation energy (eV per atom): -1.51
Magnetic moment (μB per atom): 0.000
Density (g cm⁻³): 6.49

---

4.
DFT (PBE-GGA) results for a relaxed structure of HoAgGeO4.

```
HoAgGeO4
1.0
-1.0074 -5.9120 0.0492
4.3966 -3.7683 2.7593
-1.9669 -2.6611 5.4949
Ag O Ge Ho
2 8 2 2
Direct
0.5000 0.0000 0.5000
0.0000 0.0000 0.5000
0.7619 0.7350 0.2350
0.7472 0.2940 0.2115
0.2680 0.7350 0.2350
0.2528 0.7060 0.7885
0.2381 0.2650 0.7650
0.7472 0.7115 0.7940
0.7320 0.2650 0.7650
0.2528 0.2885 0.2060
0.3644 0.3856 0.8856
0.6356 0.6144 0.1144
0.0000 0.0000 0.0000
0.0000 0.5000 0.5000
```

## Properties
Final energy (eV for the cell shown): -90.9
Uncorrected formation energy (eV per atom): -1.94
Magnetic moment (μB per atom): 0.000
Density (g cm⁻³): 7.25

---

5.
DFT (PBE-GGA) results for a relaxed structure of Ho2AgGe4Pd3.

```
Ho2AgGe4Pd3
1.0
-2.3464 -1.1009 3.2708
-2.1815 -2.5916 -2.4372
6.9541 -8.0097 2.2927
Pd Ag Ge Ho
3 1 4 2
Direct
0.0000 0.0000 0.5000
0.5000 0.0000 0.8649
0.0000 0.5000 0.1351
0.5000 0.5000 0.5000
0.5000 0.0000 0.6417
0.5000 0.5000 0.0000
0.0000 0.5000 0.3583
0.0000 0.0000 0.0000
0.5000 0.0000 0.2556
0.0000 0.5000 0.7444
```

## Properties
Final energy (eV for the cell shown): -52.5
Energy of formation from the pure elements (eV/f.u.): -6.42
Magnetic moment (μB per atom): 0.000
Density (g cm⁻³): 9.20

---

6.
DFT (PBE-GGA) results for a relaxed structure of PmHoAgGe.

```
PmHoAgGe
1.0
5.1367 0.0000 0.0000
2.5684 4.4485 0.0000
2.5684 1.4828 4.1941
Ag Ho Ge Pm
1 1 1 1
Direct
0.7500 0.7500 0.7500
0.0000 0.0000 0.0000
0.2500 0.2500 0.2500
0.5000 0.5000 0.5000
```

## Properties
Final energy (eV for the cell shown): -18.9
Energy of formation from the pure elements (eV/f.u.): -2.07
Magnetic moment (μB per atom): 0.001
Density (g cm⁻³): 8.50

---

What is the formula in the fourth record? HoAgGeO4